First-principles (PBE+U) data for crystalline NaHgMo2O8 at its relaxed geometry, as listed in Alexandria.

Unit cell a=6.2769 b=6.2769 c=6.2769 alpha=108.37 beta=108.37 gamma=111.70
Closest atoms and distances in Å follow each position.
Fractional positions:
O1 0.3498 0.1521 0.8023  1 Mo 1.80
O2 0.4525 0.6502 0.8023  1 Mo 1.80
O3 0.4016 0.0992 0.3023  1 Mo 1.80
O4 0.9008 0.2031 0.3023  1 Mo 1.80
O5 0.8479 0.6502 0.1977  1 Mo 1.80
O6 0.9008 0.5984 0.6977  1 Mo 1.80
O7 0.7969 0.0992 0.6977  1 Mo 1.80
O8 0.3498 0.5475 0.1977  1 Mo 1.80
Hg1 0.0000 0.0000 0.0000  4 O 2.33
Mo1 0.7500 0.2500 0.5000  4 O 1.80
Mo2 0.5000 0.5000 0.0000  4 O 1.80
Na1 0.2500 0.7500 0.5000  4 O 2.33

Values from the calculation:
Spin magnetization = 1.12 μB/f.u.
VASP energy = -5.822 eV/atom
Space group = I-4m2 (119)